Model A:
A plane-wave DFT calculation with meta-GGA SCAN was carried out for a crystal of OsCl2O relaxed with PBEsol.

As for the space group: Immm. The crystal system is orthorhombic.

Cell lengths 6.2657, 6.2657, 6.2657 Å; angles 146.72, 145.63, 48.59 degrees
Positions (direct):
Os (0.0000, 0.0000, 0.0000)
Cl (0.1364, 0.6364, 0.5000)
Cl (0.8636, 0.3636, 0.5000)
O (0.5000, 0.0000, 0.5000)

=====

Model B:
A plane-wave DFT calculation with meta-GGA SCAN was carried out for a crystal of OsCl2O relaxed with PBEsol.

As for the space group: I-42d. The crystal system is tetragonal.

Cell lengths 5.5408, 5.5408, 5.5408 Å; angles 114.46, 114.46, 99.90 degrees
Positions (direct):
Os (0.0000, 0.0000, 0.0000)
Os (0.7500, 0.2500, 0.5000)
Cl (0.1089, 0.1250, 0.4839)
Cl (0.3750, 0.8911, 0.0161)
Cl (0.6411, 0.6250, 0.5161)
Cl (0.8750, 0.3589, 0.9839)
O (0.2500, 0.7500, 0.5000)
O (0.5000, 0.5000, 0.0000)

=====

List of relative energies, unit kJ/mol of atoms: model A 0.0; model B 167.6